Here is a relaxed ThGe2Bi crystal from Alexandria. Energies are from PBE. Values from VASP.

```
&SYSTEM
  ibrav = 0, nat = 4, ntyp = 3
/
ATOMIC_SPECIES
Th 232.04 Th.upf
Ge 72.64 Ge.upf
Bi 208.98 Bi.upf
CELL_PARAMETERS angstrom
4.810 0.000 0.000
0.000 4.810 0.000
0.000 0.000 4.218
ATOMIC_POSITIONS crystal
Th 0.000 0.000 0.000
Ge 0.000 0.500 0.500
Ge 0.500 0.000 0.500
Bi 0.500 0.500 0.000
```

Computed properties:
Space group: P4/mmm
Energy in eV/atom: -5.4966
D(E_F) in states/eV/atom: 0.75

***

Here is a relaxed Th2GeBi crystal from Alexandria. Energies are from PBE. Values from VASP.

```
&SYSTEM
  ibrav = 0, nat = 4, ntyp = 3
/
ATOMIC_SPECIES
Th 232.04 Th.upf
Ge 72.64 Ge.upf
Bi 208.98 Bi.upf
CELL_PARAMETERS angstrom
2.201 1.271 7.433
-2.201 1.271 7.433
0.000 -2.541 7.433
ATOMIC_POSITIONS crystal
Th 0.240 0.240 0.240
Th 0.760 0.760 0.760
Ge 0.500 0.500 0.500
Bi 0.000 0.000 0.000
```

Computed properties:
Space group: R-3m
Energy in eV/atom: -6.5602
D(E_F) in states/eV/atom: 0.58